Compound: Rb2MnPdBr6
Source: the Alexandria database
Functional: PBE
Structure: optimized geometry

Properties
space group	I4/mmm (139)
crystal system	tetragonal
formation energy (no corrections)	-23.12	kcal/mol of atoms

POSCAR file:
```
Rb2MnPdBr6
1.0
7.510 0.000 0.000
0.000 7.510 0.000
3.755 3.755 5.319
Mn Br Rb Pd
1 6 2 1
direct
0.500 0.500 0.000 Mn
0.255 0.255 0.491 Br
0.745 0.745 0.509 Br
0.253 0.253 0.000 Br
0.747 0.747 0.000 Br
0.747 0.253 0.000 Br
0.253 0.747 0.000 Br
0.750 0.250 0.500 Rb
0.250 0.750 0.500 Rb
0.000 0.000 0.000 Pd
```

Compound: KSrCr2
Source: the Alexandria database
Functional: PBE
Structure: optimized geometry

Properties
space group	Fm-3m (225)
crystal system	cubic
E above lowest polymorph	1618	meV/atom
ΔH_f (0 K)	9.20	eV per formula unit

POSCAR file:
```
KSrCr2
1.0
0.486 -4.965 -1.630
-4.260 -3.022 -0.518
-1.681 -1.370 -4.780
Sr K Cr
1 1 2
direct
0.500 0.500 0.500 Sr
0.000 0.000 0.000 K
0.250 0.250 0.250 Cr
0.750 0.750 0.750 Cr
```

Compound: Zr3TiAg
Source: the Alexandria database
Functional: PBE
Structure: optimized geometry

Properties
space group	Pm-3m (221)
crystal system	cubic
E above lowest polymorph	291	meV/atom
ΔH_f (0 K)	5.50	eV per formula unit

POSCAR file:
```
Zr3TiAg
1.0
-4.559 2.142 -0.988
-0.102 -2.326 -4.574
-2.357 -4.043 2.109
Zr Ag Ti
3 1 1
direct
0.000 0.500 0.000 Zr
0.000 0.000 0.500 Zr
0.500 0.000 0.000 Zr
0.000 0.000 0.000 Ag
0.500 0.500 0.500 Ti
```

Compound: Co2AgSb
Source: the Alexandria database
Functional: PBE
Structure: optimized geometry

Properties
space group	R-3m (166)
crystal system	trigonal
formation energy (no corrections)	10.73	kcal/mol of atoms

POSCAR file:
```
Co2AgSb
1.0
-5.119 -5.891 2.347
-3.202 -5.821 4.720
-5.531 -3.853 4.581
Ag Co Sb
1 2 1
direct
0.250 0.250 0.250 Ag
0.004 0.004 0.004 Co
0.496 0.496 0.496 Co
0.750 0.750 0.750 Sb
```